GGA-PBE Tl2CoBr, optimized geometry; formation energy (no corrections) = 0.6 eV per formula unit; M_tot = 1.4 μB/f.u.; uncorrected energy = -12.90 eV per cell
1.0
-1.282 -1.111 3.345
2.564 -2.728 0.076
5.068 4.861 3.557
Br Tl Co
1 2 1
direct
0.000 0.000 0.464
0.500 0.500 0.247
0.000 0.000 0.878
0.500 0.500 0.911

***

GGA-PBE MnHgMoRh2, optimized geometry; M_tot = 4.2 μB/f.u.; uncorrected energy = -28.54 eV per cell; calculated formation energy = 1.294 eV/atom
1.0
4.410 0.000 0.000
0.000 4.907 0.000
0.000 0.000 4.410
Mn Rh Mo Hg
1 2 1 1
direct
0.000 0.000 0.000
0.500 0.000 0.000
0.000 0.000 0.500
0.500 0.500 0.500
0.000 0.500 0.000

***

GGA-PBE Sc2ReRh, optimized geometry; M_tot = 0.0 μB/f.u.; uncorrected energy = -33.38 eV per cell; calculated formation energy = -0.230 eV/atom
1.0
-0.261 5.141 0.006
-4.198 -1.862 2.325
0.574 0.599 2.783
Re Sc Rh
1 2 1
direct
0.500 0.000 0.500
0.500 0.500 0.000
0.000 0.000 0.000
0.000 0.500 0.500

***

GGA-PBE CsIn6, optimized geometry; M_tot = 0.0 μB/f.u.; uncorrected energy = -16.91 eV per cell; calculated formation energy = 0.054 eV/atom
1.0
-2.792 -0.811 6.528
1.209 -6.423 -2.889
6.157 3.596 0.473
In Cs
6 1
direct
0.750 0.500 0.250
0.250 0.750 0.500
0.500 0.750 0.250
0.500 0.250 0.750
0.750 0.250 0.500
0.250 0.500 0.750
0.000 0.000 0.000

***

GGA-PBE Ba2MgBi5, optimized geometry; M_tot = 0.0 μB/f.u.; uncorrected energy = -28.50 eV per cell; calculated formation energy = -0.457 eV/atom
1.0
-4.936 -2.926 4.772
-2.332 -4.687 -5.319
7.123 0.352 1.777
Bi Ba Mg
5 2 1
direct
0.717 0.256 0.973
0.255 0.255 0.970
0.763 0.763 0.526
0.717 0.717 0.972
0.256 0.717 0.973
0.238 0.738 0.476
0.738 0.238 0.476
0.094 0.094 0.188

***

GGA-PBE TaBeW2, optimized geometry; M_tot = 0.0 μB/f.u.; uncorrected energy = -40.67 eV per cell; calculated formation energy = 0.205 eV/atom
1.0
-0.179 -0.333 2.685
-2.437 -1.147 -0.305
3.530 -7.321 -0.672
Ta W Be
1 2 1
direct
0.500 0.500 0.713
0.500 0.500 0.288
0.000 0.000 0.004
0.000 0.000 0.495

***

GGA-PBE Cd4Ni, optimized geometry; M_tot = 0.0 μB/f.u.; uncorrected energy = -7.50 eV per cell; calculated formation energy = 0.388 eV/atom
1.0
-7.336 -1.177 2.785
-7.498 2.068 -1.568
7.154 -2.617 -2.218
Cd Ni
4 1
direct
0.410 0.410 0.000
0.250 0.750 0.500
0.590 0.590 0.000
0.750 0.250 0.500
0.000 0.000 0.000

***

GGA-PBE FeReTe2, optimized geometry; formation energy (no corrections) = 2.6 eV per formula unit; M_tot = 2.5 μB/f.u.; uncorrected energy = -24.60 eV per cell
1.0
4.412 -0.012 -0.028
3.172 3.066 -0.028
1.161 0.468 5.601
Te Fe Re
2 1 1
direct
0.493 0.493 0.501
0.007 0.007 0.999
0.250 0.250 0.250
0.750 0.750 0.750

***

- Which formula does entry 7 have?
  Cd4Ni

***

- Which value of uncorrected energy does entry 4 give?
  -16.91 eV per cell